(1)
A relaxed NaSiN crystal, computed with PBE.

The value obtained for the magnetic moment is 0.00 μB/f.u. The calculation puts the total energy at -61.32 eV/cell. As for the density of states at the Fermi level: 0.2044 states/eV per atom.

The space group is Immm (No. 71) and the conventional cell measures 4.4852, 4.6245 and 11.0333 Å, with angles of 90.00, 90.00 and 90.00 degrees. The inequivalent atoms are Na at (0.0000, 0.0000, 0.1697), Si at (0.2432, 0.5000, 0.0000) and N at (0.0000, 0.0000, 0.3801).


(2)
A relaxed MnAgW2 crystal, computed with PBE.

As for the formation energy: 0.51 eV/atom. The value obtained for the magnetic moment is 2.76 μB/f.u. The calculation puts the total energy at -35.90 eV/cell. The calculation puts the energy above the lowest structure with this stoichiometry at 0.180 eV per atom. As for the density of states at the Fermi level: 0.8853 states/eV per atom.

The space group is Pmm2 (No. 25) and the conventional cell measures 2.6865, 4.1079 and 5.7311 Å, with angles of 90.00, 90.00 and 90.00 degrees. The inequivalent atoms are Mn at (0.0000, 0.0000, 0.0000), Ag at (0.5000, 0.5000, 0.7557), W at (0.0000, 0.0000, 0.4863) and W at (0.5000, 0.5000, 0.2420).


(3)
A relaxed Mn2GaTe crystal, computed with PBE.

The value obtained for the magnetic moment is 0.77 μB/f.u. The calculation puts the total energy at -92.58 eV/cell. As for the density of states at the Fermi level: 0.8884 states/eV per atom.

The space group is Fm-3m (No. 225) and the conventional cell measures 6.0987, 6.0987 and 6.0987 Å, with angles of 90.00, 90.00 and 90.00 degrees. The inequivalent atoms are Mn at (0.2500, 0.2500, 0.2500), Ga at (0.0000, 0.0000, 0.0000) and Te at (0.0000, 0.0000, 0.5000).


(4)
A relaxed Ca2TbGaSe5 crystal, computed with PBE.

The value obtained for the magnetic moment is 0.00 μB/f.u. The calculation puts the total energy at -172.12 eV/cell.

The space group is Cmc2_1 (No. 36) and the conventional cell measures 4.0178, 18.5057 and 12.4560 Å, with angles of 90.00, 90.00 and 90.00 degrees. The inequivalent atoms are Ca at (0.0000, 0.1162, 0.0000), Ca at (0.0000, 0.1214, 0.6446), Tb at (0.0000, 0.2073, 0.3467), Ga at (0.0000, 0.4430, 0.7558), Se at (0.0000, 0.0441, 0.3704), Se at (0.0000, 0.2937, 0.0051), Se at (0.0000, 0.3180, 0.6813), Se at (0.0000, 0.3583, 0.3268) and Se at (0.0000, 0.4966, 0.0882).


(5)
A relaxed Ta5Rh crystal, computed with PBE.

As for the formation energy: 0.70 eV/atom. The value obtained for the magnetic moment is 0.00 μB/f.u. The calculation puts the total energy at -62.40 eV/cell. The calculation puts the energy above the lowest structure with this stoichiometry at 0.932 eV per atom. As for the density of states at the Fermi level: 0.9736 states/eV per atom.

The space group is P6/mmm (No. 191) and the conventional cell measures 5.4513, 5.4513 and 4.5793 Å, with angles of 90.00, 90.00 and 120.00 degrees. The inequivalent atoms are Ta at (0.0000, 0.5000, 0.0000), Ta at (0.3333, 0.6667, 0.5000) and Rh at (0.0000, 0.0000, 0.5000).


(6)
A relaxed CaTbAlPd crystal, computed with PBE.

As for the formation energy: -0.48 eV/atom. The value obtained for the magnetic moment is 0.00 μB/f.u. The calculation puts the total energy at -69.88 eV/cell. As for the density of states at the Fermi level: 0.5848 states/eV per atom.

The space group is F-43m (No. 216) and the conventional cell measures 7.1971, 7.1971 and 7.1971 Å, with angles of 90.00, 90.00 and 90.00 degrees. The inequivalent atoms are Ca at (0.0000, 0.0000, 0.0000), Tb at (0.0000, 0.0000, 0.5000), Al at (0.2500, 0.2500, 0.2500) and Pd at (0.2500, 0.2500, 0.7500).


(7)
A relaxed KTaAs2 crystal, computed with PBE.

As for the formation energy: 0.28 eV/atom. The value obtained for the magnetic moment is 0.00 μB/f.u. The calculation puts the total energy at -42.29 eV/cell. The calculation puts the energy above the lowest structure with this stoichiometry at 0.665 eV per atom. As for the density of states at the Fermi level: 0.5633 states/eV per atom.

The space group is C2/m (No. 12) and the conventional cell measures 7.6203, 7.7210 and 2.9327 Å, with angles of 90.00, 105.96 and 90.00 degrees. The inequivalent atoms are K at (0.0000, 0.0000, 0.0000), Ta at (0.0000, 0.5000, 0.0000) and As at (0.2500, 0.2500, 0.5000).


(8)
A relaxed Si2AsCl crystal, computed with PBE.

The value obtained for the magnetic moment is 0.00 μB/f.u. The calculation puts the total energy at -62.67 eV/cell. The calculation puts the energy above the lowest structure with this stoichiometry at 0.469 eV per atom. As for the density of states at the Fermi level: 0.3692 states/eV per atom.

The space group is I-42d (No. 122) and the conventional cell measures 7.0541, 7.0541 and 6.8555 Å, with angles of 90.00, 90.00 and 90.00 degrees. The inequivalent atoms are Si at (0.2183, 0.2500, 0.1250), As at (0.0000, 0.0000, 0.0000) and Cl at (0.0000, 0.0000, 0.5000).


(9)
A relaxed Pm3Ho2Tm5 crystal, computed with PBE.

As for the formation energy: 0.20 eV/atom. The value obtained for the magnetic moment is 0.00 μB/f.u. The calculation puts the total energy at -175.22 eV/cell. The calculation puts the energy above the lowest structure with this stoichiometry at 0.000 eV per atom. As for the density of states at the Fermi level: 1.7304 states/eV per atom.

The space group is C2/c (No. 15) and the conventional cell measures 10.5885, 15.8257 and 9.3580 Å, with angles of 90.00, 124.34 and 90.00 degrees. The inequivalent atoms are Pm at (0.0000, 0.2345, 0.2500), Pm at (0.1461, 0.1232, 0.0459), Ho at (0.1504, 0.3828, 0.5483), Tm at (0.0000, 0.0271, 0.2500), Tm at (0.0000, 0.2714, 0.7500), Tm at (0.0000, 0.4714, 0.7500) and Tm at (0.2433, 0.3889, 0.2372).


(10)
A relaxed AgAu5 crystal, computed with PBE.

As for the formation energy: -0.02 eV/atom. The value obtained for the magnetic moment is 0.00 μB/f.u. The calculation puts the total energy at -38.71 eV/cell. The calculation puts the energy above the lowest structure with this stoichiometry at 0.003 eV per atom. As for the density of states at the Fermi level: 0.1981 states/eV per atom.

The space group is Amm2 (No. 38) and the conventional cell measures 4.8589, 2.9361 and 15.1311 Å, with angles of 90.00, 90.00 and 90.00 degrees. The inequivalent atoms are Ag at (0.0000, 0.0000, 0.0000), Au at (0.0000, 0.0000, 0.3336), Au at (0.0000, 0.0000, 0.6661), Au at (0.5000, 0.0000, 0.1133), Au at (0.5000, 0.0000, 0.4473) and Au at (0.5000, 0.0000, 0.7808).


(11)
A relaxed Cs2RbNdCl6 crystal, computed with PBE.

The value obtained for the magnetic moment is 0.00 μB/f.u. The calculation puts the total energy at -80.10 eV/cell. The calculation puts the energy above the lowest structure with this stoichiometry at 0.000 eV per atom. As for the density of states at the Fermi level: 0.0000 states/eV per atom.

The space group is P2_1/c (No. 14) and the conventional cell measures 8.0753, 8.4407 and 14.0356 Å, with angles of 90.00, 124.62 and 90.00 degrees. The inequivalent atoms are Cs at (0.2273, 0.0608, 0.2472), Rb at (0.0000, 0.0000, 0.5000), Nd at (0.5000, 0.0000, 0.0000), Cl at (0.1808, 0.1829, 0.9552), Cl at (0.2661, 0.7311, 0.9434) and Cl at (0.3702, 0.0363, 0.7726).


(12)
A relaxed Pu3As2Cl3 crystal, computed with PBE.

The value obtained for the magnetic moment is 16.18 μB/f.u. The calculation puts the total energy at -137.07 eV/cell. As for the density of states at the Fermi level: 3.8347 states/eV per atom.

The space group is P6_3/mcm (No. 193) and the conventional cell measures 8.5762, 8.5762 and 5.8285 Å, with angles of 90.00, 90.00 and 120.00 degrees. The inequivalent atoms are Pu at (0.0000, 0.3833, 0.2500), As at (0.3333, 0.6667, 0.0000) and Cl at (0.0000, 0.2480, 0.7500).


Copy entry 2 word for word.
A relaxed MnAgW2 crystal, computed with PBE.

As for the formation energy: 0.51 eV/atom. The value obtained for the magnetic moment is 2.76 μB/f.u. The calculation puts the total energy at -35.90 eV/cell. The calculation puts the energy above the lowest structure with this stoichiometry at 0.180 eV per atom. As for the density of states at the Fermi level: 0.8853 states/eV per atom.

The space group is Pmm2 (No. 25) and the conventional cell measures 2.6865, 4.1079 and 5.7311 Å, with angles of 90.00, 90.00 and 90.00 degrees. The inequivalent atoms are Mn at (0.0000, 0.0000, 0.0000), Ag at (0.5000, 0.5000, 0.7557), W at (0.0000, 0.0000, 0.4863) and W at (0.5000, 0.5000, 0.2420).